Computed, not measured: an optimized crystal structure of RbCaAcBr6 at the PBE level of DFT.

Values from the calculation:
crystal system	trigonal
symmetry	P-31c
energy relative to the elements, uncorrected	-1.986	eV per atom

Geometry as POSCAR:
```
RbCaAcBr6
1.0
7.825 0.000 0.000
-3.912 6.777 0.000
0.000 0.000 14.784
Rb Ca Ac Br
2 2 2 12
Direct
0.000 0.000 0.000
0.000 0.000 0.500
0.667 0.333 0.250
0.333 0.667 0.750
0.333 0.667 0.250
0.667 0.333 0.750
0.636 0.624 0.137
0.988 0.364 0.137
0.364 0.988 0.637
0.012 0.636 0.863
0.376 0.364 0.363
0.988 0.624 0.363
0.624 0.988 0.863
0.636 0.012 0.363
0.012 0.376 0.637
0.376 0.012 0.137
0.624 0.636 0.637
0.364 0.376 0.863
```